1.
Entry from Alexandria: a relaxed Cu2AsPb crystal (GGA-PBE).

## Properties
VASP energy	-15.83	eV/f.u.
energy of formation	0.181	eV per atom

a b c (Å): 3.997 3.997 9.680
angles (deg): 90.00 90.00 90.00
Fractional positions:
Pb 0.500 0.000 0.196
Pb 0.000 0.500 0.804
Cu 0.000 0.500 0.084
Cu 0.500 0.500 0.500
Cu 0.500 0.000 0.916
Cu 0.000 0.000 0.500
As 0.000 0.500 0.344
As 0.500 0.000 0.656

2.
Entry from Alexandria: a relaxed Cu2As2Pb crystal (GGA-PBE).

## Properties
VASP energy	-20.98	eV/f.u.
relative energy among the computed polymorphs	0.000	eV/atom
energy of formation	0.044	eV per atom

a b c (Å): 4.348 4.348 5.954
angles (deg): 68.58 68.58 90.00
Fractional positions:
Cu 0.750 0.250 0.500
Cu 0.250 0.750 0.500
As 0.626 0.626 0.747
As 0.374 0.374 0.253
Pb 0.000 0.000 0.000

3.
Entry from Alexandria: a relaxed CuAs2Pb crystal (GGA-PBE).

## Properties
VASP energy	-15.86	eV/f.u.
energy of formation	0.312	eV per atom

a b c (Å): 5.606 5.606 5.606
angles (deg): 143.66 121.11 71.21
Fractional positions:
Cu 0.462 0.462 0.000
As 0.052 0.052 0.000
As 0.259 0.759 0.500
Pb 0.727 0.227 0.500

4.
Entry from Alexandria: a relaxed Cu2AsPb crystal (GGA-PBE).

## Properties
VASP energy	-16.06	eV/f.u.
energy of formation	0.122	eV per atom

a b c (Å): 4.690 4.690 8.461
angles (deg): 73.91 73.91 90.00
Fractional positions:
Cu 0.375 0.513 0.750
Cu 0.875 0.737 0.750
Cu 0.487 0.125 0.250
Cu 0.263 0.625 0.250
As 0.250 0.750 0.500
As 0.500 0.500 0.000
Pb 0.750 0.250 0.500
Pb 0.000 0.000 0.000

5.
Entry from Alexandria: a relaxed CuAs2Pb crystal (GGA-PBE).

## Properties
VASP energy	-16.30	eV/f.u.
energy of formation	0.201	eV per atom

a b c (Å): 3.402 3.523 7.007
angles (deg): 90.00 90.00 90.00
Fractional positions:
Cu 0.500 0.500 0.250
Pb 0.500 0.500 0.750
As 0.000 0.000 0.425
As 0.000 0.000 0.075

6.
Entry from Alexandria: a relaxed CuAs2Pb crystal (GGA-PBE).

## Properties
VASP energy	-15.61	eV/f.u.
energy of formation	0.374	eV per atom

a b c (Å): 5.894 5.894 5.894
angles (deg): 140.00 140.00 57.85
Fractional positions:
Pb 0.750 0.250 0.500
Cu 0.250 0.750 0.500
As 0.500 0.500 0.000
As 0.000 0.000 0.000

7.
Entry from Alexandria: a relaxed Cu3As2Pb crystal (GGA-PBE).

## Properties
VASP energy	-25.08	eV/f.u.
energy of formation	0.036	eV per atom

a b c (Å): 3.812 7.109 8.700
angles (deg): 75.43 77.35 74.45
Fractional positions:
Cu 0.753 0.099 0.394
Cu 0.421 0.506 0.653
Cu 0.247 0.901 0.606
Cu 0.917 0.699 0.467
Cu 0.579 0.494 0.347
Cu 0.083 0.301 0.533
As 0.410 0.875 0.305
As 0.781 0.667 0.771
As 0.590 0.125 0.695
As 0.219 0.333 0.229
Pb 0.103 0.747 0.048
Pb 0.897 0.253 0.952

8.
Entry from Alexandria: a relaxed Cu2AsPb crystal (GGA-PBE).

## Properties
VASP energy	-14.82	eV/f.u.
energy of formation	0.432	eV per atom

a b c (Å): 4.775 4.775 4.775
angles (deg): 60.00 60.00 60.00
Fractional positions:
Cu 0.250 0.250 0.250
Cu 0.000 0.000 0.000
Pb 0.750 0.750 0.750
As 0.500 0.500 0.500

9.
Entry from Alexandria: a relaxed Cu2AsPb crystal (GGA-PBE).

## Properties
VASP energy	-15.89	eV/f.u.
energy of formation	0.166	eV per atom

a b c (Å): 3.185 3.122 7.698
angles (deg): 90.00 90.00 90.00
Fractional positions:
Pb 0.000 0.000 0.447
Cu 0.500 0.500 0.184
Cu 0.000 0.000 0.021
As 0.500 0.500 0.848

10.
Entry from Alexandria: a relaxed CuAsPb3 crystal (GGA-PBE).

## Properties
VASP energy	-18.13	eV/f.u.
relative energy among the computed polymorphs	0.000	eV/atom
energy of formation	0.348	eV per atom

a b c (Å): 5.214 5.214 5.214
angles (deg): 90.00 90.00 90.00
Fractional positions:
Pb 0.000 0.000 0.500
Pb 0.000 0.500 0.000
Pb 0.500 0.000 0.000
Cu 0.000 0.000 0.000
As 0.500 0.500 0.500

11.
Entry from Alexandria: a relaxed Cu2AsPb crystal (GGA-PBE).

## Properties
VASP energy	-16.09	eV/f.u.
energy of formation	0.115	eV per atom

a b c (Å): 4.040 4.040 6.223
angles (deg): 71.06 71.06 60.00
Fractional positions:
Cu 0.292 0.292 0.123
Cu 0.046 0.046 0.863
As 0.668 0.668 0.995
Pb 0.494 0.494 0.518

12.
Entry from Alexandria: a relaxed Cu4As2Pb crystal (GGA-PBE).

## Properties
VASP energy	-29.23	eV/f.u.
energy of formation	0.023	eV per atom

a b c (Å): 4.174 4.174 8.393
angles (deg): 75.60 75.60 60.00
Fractional positions:
Pb 0.000 0.000 0.000
Cu 0.443 0.443 0.671
Cu 0.557 0.557 0.329
Cu 0.145 0.145 0.564
Cu 0.855 0.855 0.436
As 0.752 0.752 0.744
As 0.248 0.248 0.256

13.
Entry from Alexandria: a relaxed Cu2AsPb crystal (GGA-PBE).

## Properties
VASP energy	-16.27	eV/f.u.
energy of formation	0.070	eV per atom

a b c (Å): 4.061 4.061 6.245
angles (deg): 69.83 69.83 60.30
Fractional positions:
As 0.702 0.702 0.904
Cu 0.290 0.290 0.133
Cu 0.997 0.997 0.015
Pb 0.511 0.511 0.448

14.
Entry from Alexandria: a relaxed CuAs2Pb crystal (GGA-PBE).

## Properties
VASP energy	-15.77	eV/f.u.
energy of formation	0.333	eV per atom

a b c (Å): 4.814 4.814 4.466
angles (deg): 75.44 75.44 110.05
Fractional positions:
As 0.000 0.000 0.000
As 0.500 0.500 0.000
Pb 0.000 0.500 0.500
Cu 0.500 0.000 0.500

15.
Entry from Alexandria: a relaxed Cu2As2Pb crystal (GGA-PBE).

## Properties
VASP energy	-20.12	eV/f.u.
relative energy among the computed polymorphs	0.172	eV/atom
energy of formation	0.217	eV per atom

a b c (Å): 7.729 7.729 3.104
angles (deg): 90.00 90.00 90.00
Fractional positions:
Cu 0.622 0.122 0.000
Cu 0.122 0.378 0.000
Cu 0.878 0.622 0.000
Cu 0.378 0.878 0.000
Pb 0.000 0.000 0.000
Pb 0.500 0.500 0.000
As 0.160 0.660 0.500
As 0.340 0.160 0.500
As 0.660 0.840 0.500
As 0.840 0.340 0.500

16.
Entry from Alexandria: a relaxed CuAs2Pb crystal (GGA-PBE).

## Properties
VASP energy	-15.54	eV/f.u.
energy of formation	0.391	eV per atom

a b c (Å): 4.743 4.743 3.964
angles (deg): 90.00 90.00 106.28
Fractional positions:
As 0.500 0.500 0.000
As 0.000 0.000 0.000
Cu 0.500 0.000 0.500
Pb 0.000 0.500 0.500

17.
Entry from Alexandria: a relaxed CuAs2Pb crystal (GGA-PBE).

## Properties
VASP energy	-16.68	eV/f.u.
energy of formation	0.105	eV per atom

a b c (Å): 5.841 5.841 7.360
angles (deg): 66.62 66.62 90.00
Fractional positions:
Cu 0.500 0.500 0.000
Cu 0.250 0.750 0.500
Pb 0.000 0.000 0.000
Pb 0.750 0.250 0.500
As 0.375 0.437 0.750
As 0.563 0.125 0.250
As 0.875 0.813 0.750
As 0.187 0.625 0.250

18.
Entry from Alexandria: a relaxed CuAs3Pb crystal (GGA-PBE).

## Properties
VASP energy	-19.57	eV/f.u.
relative energy among the computed polymorphs	0.000	eV/atom
energy of formation	0.437	eV per atom

a b c (Å): 4.844 4.844 4.844
angles (deg): 90.00 90.00 90.00
Fractional positions:
As 0.000 0.000 0.500
As 0.500 0.000 0.000
As 0.000 0.500 0.000
Pb 0.500 0.500 0.500
Cu 0.000 0.000 0.000

19.
Entry from Alexandria: a relaxed CuAs2Pb crystal (GGA-PBE).

## Properties
VASP energy	-16.18	eV/f.u.
energy of formation	0.230	eV per atom

a b c (Å): 5.808 5.808 5.808
angles (deg): 148.36 123.44 66.27
Fractional positions:
As 0.445 0.445 0.000
As 0.055 0.055 0.000
Pb 0.750 0.250 0.500
Cu 0.250 0.750 0.500

20.
Entry from Alexandria: a relaxed CuAs2Pb crystal (GGA-PBE).

## Properties
VASP energy	-16.81	eV/f.u.
energy of formation	0.074	eV per atom

a b c (Å): 4.281 4.281 6.274
angles (deg): 77.57 77.57 55.01
Fractional positions:
Pb 0.207 0.207 0.247
Cu 0.501 0.501 0.705
As 0.950 0.950 0.953
As 0.842 0.842 0.595